This record from Alexandria describes crystalline Ti2Ni3Te3O16 at its relaxed geometry. The functional is GGA+U.

POSCAR file:
```
Ti2Ni3Te3O16
1.0
5.306 -3.025 0.000
5.306 3.025 0.000
-0.280 0.000 9.351
Ti Ni Te O
2 3 3 16
Cartesian
0.000 0.000 0.000
7.146 0.000 4.174
4.626 1.508 2.388
5.579 0.000 7.004
4.626 -1.508 2.388
2.911 1.518 6.930
1.952 0.000 2.295
2.911 -1.518 6.930
2.724 1.524 3.363
0.329 0.000 3.329
4.520 1.530 7.970
2.092 0.000 7.936
6.356 1.753 1.057
3.656 0.000 1.435
3.765 0.000 5.919
6.668 1.344 5.833
2.724 -1.524 3.363
5.564 0.000 3.471
4.520 -1.530 7.970
7.426 0.000 8.033
8.952 0.000 5.806
6.668 -1.344 5.833
9.266 0.000 1.074
6.356 -1.753 1.057
```

Output
magnetization: 0.250 μB/atom
raw total energy: -6.0890 eV/atom